# Al3CdS, relaxed, DFT GGA-PBE
data_Al3CdS
_chemical_formula_sum 'Al3 Cd1 S1'
_cell_length_a 4.7602
_cell_length_b 4.7602
_cell_length_c 4.7602
_cell_angle_alpha 90.00
_cell_angle_beta 90.00
_cell_angle_gamma 90.00
_symmetry_space_group_name_H-M 'P m -3 m'
_symmetry_Int_Tables_number 221
_symmetry_space_group_name_Hall '-P 4 2 3'
loop_
_atom_site_label
_atom_site_fract_x
_atom_site_fract_y
_atom_site_fract_z
Al1 0.0000 0.0000 0.5000
Cd1 0.5000 0.5000 0.5000
S1 0.0000 0.0000 0.0000
# mass density: 3.470 g cm⁻³
# VASP energy: -2.892 eV/atom
# offset from the most stable computed form: 0 meV/atom
# total magnetization: 0.00 μB/atom
# formation energy (no corrections): 1.8 eV per formula unit